1.
Computed, not measured: crystalline Sm4GaSn at its relaxed geometry at the PBE level of DFT.

Summary:
Calculated formation energy (eV/atom): -0.331
DOS at the Fermi energy (states/eV per atom): 1.144
Electronic total energy (eV per atom): -4.649

Cell and atoms, written as POSCAR:
```
Sm4GaSn
1.0
-2.583 -3.409 3.677
-4.139 -1.747 -4.528
7.663 -6.140 -4.635
Sm Ga Sn
8 2 2
Direct
0.108 0.822 0.215 Sm
0.296 0.071 0.591 Sm
0.704 0.074 0.408 Sm
0.704 0.571 0.409 Sm
0.443 0.822 0.885 Sm
0.557 0.322 0.115 Sm
0.892 0.322 0.785 Sm
0.296 0.574 0.592 Sm
0.580 0.822 0.159 Ga
0.420 0.322 0.841 Ga
0.847 0.822 0.694 Sn
0.153 0.322 0.306 Sn
```

2.
Computed, not measured: crystalline Tl3FeCl5 at its relaxed geometry at the PBE level of DFT.

Summary:
Energy relative to the elements, uncorrected (eV per atom): -0.911
DOS at the Fermi energy (states/eV per atom): 0.761
Electronic total energy (eV per atom): -3.666

Cell and atoms, written as POSCAR:
```
Tl3FeCl5
1.0
9.543 -0.010 0.000
1.926 9.347 0.000
-5.734 -4.668 6.033
Tl Cl Fe
6 10 2
Direct
0.836 0.664 0.500 Tl
0.664 0.164 0.829 Tl
0.164 0.336 0.500 Tl
0.336 0.836 0.171 Tl
0.250 0.250 0.000 Tl
0.750 0.750 0.000 Tl
0.500 0.500 0.000 Cl
0.505 0.305 0.500 Cl
0.495 0.695 0.500 Cl
0.695 0.195 0.200 Cl
0.305 0.805 0.800 Cl
0.005 0.505 0.200 Cl
0.805 0.005 0.500 Cl
0.000 0.000 0.000 Cl
0.995 0.495 0.800 Cl
0.195 0.995 0.500 Cl
0.250 0.750 0.500 Fe
0.750 0.250 0.500 Fe
```

3.
Computed, not measured: crystalline LiTaGeO5 at its relaxed geometry at the PBE level of DFT.

Summary:
Energy relative to the elements, uncorrected (eV per atom): -2.324
DOS at the Fermi energy (states/eV per atom): 0.000
Electronic total energy (eV per atom): -7.721

Cell and atoms, written as POSCAR:
```
LiTaGeO5
1.0
5.615 0.018 0.009
-0.376 5.602 0.009
2.557 2.744 6.618
O Ta Ge Li
10 2 2 2
Direct
0.931 0.067 0.249 O
0.764 0.239 0.947 O
0.702 0.696 0.149 O
0.696 0.702 0.649 O
0.304 0.298 0.348 O
0.298 0.304 0.848 O
0.236 0.766 0.068 O
0.067 0.931 0.749 O
0.766 0.236 0.568 O
0.239 0.764 0.447 O
0.008 0.991 0.993 Ta
0.991 0.008 0.493 Ta
0.639 0.361 0.758 Ge
0.361 0.639 0.258 Ge
0.691 0.310 0.205 Li
0.310 0.691 0.705 Li
```

4.
Computed, not measured: crystalline TbPaTlAg at its relaxed geometry at the PBE level of DFT.

Summary:
Calculated formation energy (eV/atom): 0.101
DOS at the Fermi energy (states/eV per atom): 2.039
Electronic total energy (eV per atom): -4.735

Cell and atoms, written as POSCAR:
```
TbPaTlAg
1.0
-1.418 -4.812 -1.673
3.329 -4.073 0.538
-1.040 -3.819 3.507
Pa Tl Ag Tb
1 1 1 1
Direct
0.000 0.000 0.000 Pa
0.750 0.750 0.750 Tl
0.250 0.250 0.250 Ag
0.500 0.500 0.500 Tb
```

5.
Computed, not measured: crystalline CaScIr at its relaxed geometry at the PBE level of DFT.

Summary:
Calculated formation energy (eV/atom): -0.654
DOS at the Fermi energy (states/eV per atom): 0.346
Electronic total energy (eV per atom): -6.386

Cell and atoms, written as POSCAR:
```
CaScIr
1.0
-1.751 3.313 -2.239
0.215 -2.363 -3.664
-6.792 -2.688 1.334
Ca Sc Ir
2 2 2
Direct
0.000 0.500 0.862 Ca
0.500 0.000 0.138 Ca
0.000 0.000 0.500 Sc
0.500 0.500 0.500 Sc
0.500 0.000 0.713 Ir
0.000 0.500 0.287 Ir
```

6.
Computed, not measured: crystalline CeB2Pt2C at its relaxed geometry at the PBE level of DFT.

Summary:
Calculated formation energy (eV/atom): -0.635
DOS at the Fermi energy (states/eV per atom): 0.794
Electronic total energy (eV per atom): -7.401

Cell and atoms, written as POSCAR:
```
CeB2Pt2C
1.0
6.056 -0.006 0.000
3.641 4.840 0.000
-4.848 -2.417 2.707
B Ce Pt C
2 1 2 1
Direct
0.863 0.863 0.000 B
0.137 0.137 0.000 B
0.500 0.500 0.000 Ce
0.750 0.250 0.500 Pt
0.250 0.750 0.500 Pt
0.000 0.000 0.000 C
```

7.
Computed, not measured: crystalline SrSnH8Ir2 at its relaxed geometry at the PBE level of DFT.

Summary:
DOS at the Fermi energy (states/eV per atom): 0.183
Electronic total energy (eV per atom): -4.211

Cell and atoms, written as POSCAR:
```
SrSnH8Ir2
1.0
-2.805 3.471 1.976
-3.811 1.766 -2.485
-6.057 -2.864 2.461
H Ir Sn Sr
8 2 1 1
Direct
0.467 0.890 0.177 H
0.802 0.802 0.593 H
0.110 0.533 0.823 H
0.467 0.467 0.177 H
0.198 0.198 0.407 H
0.533 0.110 0.823 H
0.890 0.467 0.177 H
0.533 0.533 0.823 H
0.721 0.721 0.838 Ir
0.279 0.279 0.162 Ir
0.000 0.000 0.000 Sn
0.500 0.500 0.500 Sr
```

8.
Computed, not measured: crystalline SiRuBr2 at its relaxed geometry at the PBE level of DFT.

Summary:
Energy relative to the elements, uncorrected (eV per atom): 0.667
DOS at the Fermi energy (states/eV per atom): 0.878
Electronic total energy (eV per atom): -3.845

Cell and atoms, written as POSCAR:
```
SiRuBr2
1.0
8.781 -0.007 -0.004
8.085 3.425 -0.004
8.085 1.638 3.008
Ru Br Si
1 2 1
Direct
0.750 0.750 0.750 Ru
0.024 0.024 0.024 Br
0.476 0.476 0.476 Br
0.250 0.250 0.250 Si
```

9.
Computed, not measured: crystalline KFe2Au at its relaxed geometry at the PBE level of DFT.

Summary:
Calculated formation energy (eV/atom): 0.976
DOS at the Fermi energy (states/eV per atom): 0.324
Electronic total energy (eV per atom): -4.349

Cell and atoms, written as POSCAR:
```
KFe2Au
1.0
-2.406 -3.999 0.581
-3.561 -1.043 -2.890
0.449 -3.489 -3.121
Fe K Au
2 1 1
Direct
0.250 0.250 0.250 Fe
0.750 0.750 0.750 Fe
0.000 0.000 0.000 K
0.500 0.500 0.500 Au
```

10.
Computed, not measured: crystalline ReSnSb at its relaxed geometry at the PBE level of DFT.

Summary:
Energy relative to the elements, uncorrected (eV per atom): 0.350
DOS at the Fermi energy (states/eV per atom): 0.328
Electronic total energy (eV per atom): -6.508

Cell and atoms, written as POSCAR:
```
ReSnSb
1.0
-0.428 0.532 3.015
3.307 -3.658 1.113
5.246 7.383 -3.728
Sn Sb Re
2 2 2
Direct
0.406 0.154 0.656 Sn
0.594 0.846 0.344 Sn
0.379 0.298 0.129 Sb
0.621 0.702 0.871 Sb
0.854 0.665 0.605 Re
0.146 0.335 0.395 Re
```

11.
Computed, not measured: crystalline FeTeMo2 at its relaxed geometry at the PBE level of DFT.

Summary:
Energy relative to the elements, uncorrected (eV per atom): 1.025
DOS at the Fermi energy (states/eV per atom): 1.183
Electronic total energy (eV per atom): -7.292

Cell and atoms, written as POSCAR:
```
FeTeMo2
1.0
5.655 0.000 0.000
0.000 5.655 0.000
2.827 2.827 5.665
Fe Mo Te
2 4 2
Direct
0.250 0.750 0.500 Fe
0.500 0.500 0.000 Fe
0.191 0.625 0.250 Mo
0.559 0.125 0.250 Mo
0.875 0.809 0.750 Mo
0.375 0.441 0.750 Mo
0.750 0.250 0.500 Te
0.000 0.000 0.000 Te
```

12.
Computed, not measured: crystalline LaGePd4 at its relaxed geometry at the PBE level of DFT.

Summary:
Calculated formation energy (eV/atom): -0.674
DOS at the Fermi energy (states/eV per atom): 0.372
Electronic total energy (eV per atom): -5.727

Cell and atoms, written as POSCAR:
```
LaGePd4
1.0
4.016 0.000 0.000
0.000 7.129 0.000
0.000 0.000 7.785
Pd Ge La
8 2 2
Direct
0.000 0.000 0.500 Pd
0.500 0.304 0.945 Pd
0.500 0.696 0.055 Pd
0.500 0.044 0.250 Pd
0.500 0.696 0.445 Pd
0.500 0.956 0.750 Pd
0.500 0.304 0.555 Pd
0.000 0.000 0.000 Pd
0.000 0.212 0.750 Ge
0.000 0.788 0.250 Ge
0.000 0.642 0.750 La
0.000 0.358 0.250 La
```

13.
Computed, not measured: crystalline YSCl2 at its relaxed geometry at the PBE level of DFT.

Summary:
Energy relative to the elements, uncorrected (eV per atom): -0.867
DOS at the Fermi energy (states/eV per atom): 0.501
Electronic total energy (eV per atom): -4.438

Cell and atoms, written as POSCAR:
```
YSCl2
1.0
-8.258 4.383 -3.772
-8.218 5.831 -0.329
-6.159 7.383 -3.032
Cl Y S
2 1 1
Direct
0.889 0.889 0.889 Cl
0.111 0.111 0.111 Cl
0.500 0.500 0.500 Y
0.000 0.000 0.000 S
```

14.
Computed, not measured: crystalline CeMg at its relaxed geometry at the PBE level of DFT.

Summary:
Calculated formation energy (eV/atom): 0.103
DOS at the Fermi energy (states/eV per atom): 2.433
Electronic total energy (eV per atom): -3.661

Cell and atoms, written as POSCAR:
```
CeMg
1.0
5.336 0.000 0.000
0.000 9.669 0.000
0.000 0.000 6.144
Mg Ce
6 6
Direct
0.500 0.158 0.834 Mg
0.500 0.842 0.834 Mg
0.500 0.658 0.334 Mg
0.000 0.500 0.164 Mg
0.000 0.000 0.664 Mg
0.500 0.342 0.334 Mg
0.000 0.361 0.660 Ce
0.000 0.639 0.660 Ce
0.500 0.000 0.346 Ce
0.500 0.500 0.846 Ce
0.000 0.139 0.160 Ce
0.000 0.861 0.160 Ce
```

15.
Computed, not measured: crystalline Si2SbCl at its relaxed geometry at the PBE level of DFT.

Summary:
Energy relative to the elements, uncorrected (eV per atom): 0.477
DOS at the Fermi energy (states/eV per atom): 0.544
Electronic total energy (eV per atom): -3.726

Cell and atoms, written as POSCAR:
```
Si2SbCl
1.0
-0.098 -1.422 3.138
3.224 1.068 0.585
-2.566 6.242 2.748
Cl Si Sb
1 2 1
Direct
0.500 0.500 0.250 Cl
0.000 0.000 0.524 Si
0.000 0.000 0.976 Si
0.500 0.500 0.750 Sb
```